Crystalline ZrRe2Ni at its relaxed geometry. Source: Alexandria via LeMat-Bulk, functional GGA-PBE.

Cell lengths 2.7727, 2.7727, 28.1864 Å; angles 90.00, 90.00, 120.00 degrees
Space group R-3m (No. 166, hexagonal axes)
One atom of each set of equivalent atoms:
Zr1 0.0000 0.0000 0.0000 (multiplicity 3)
Re1 0.0000 0.0000 0.2400 (multiplicity 6)
Ni1 0.0000 0.0000 0.5000 (multiplicity 3)

Properties
As for the total moment: 0.00 μB/f.u. The formation energy comes out at 0.29 eV/atom. The value obtained for the mass density is 13.9 g/cm3. Its distance to the lowest polymorph of the same formula is 1.38 eV/f.u.